# TiCoMoIr2

A relaxed TiCoMoIr2 crystal (PBE, Alexandria via LeMat-Bulk).

Cell lengths 4.675, 4.598, 4.675 Å; angles 90.00, 90.00, 90.00 degrees
Positions (direct):
Mo: 0.000 0.000 0.000
Ir: 0.000 0.000 0.500
Ir: 0.500 0.000 0.000
Co: 0.500 0.500 0.500
Ti: 0.000 0.500 0.000

Output
Electronic total energy ... -7.11 eV/atom
ρ ... 9.7 g cm⁻³
SG ... P4/mmm (123)